No. 1
# La4Ir

A relaxed structure of La4Ir (GGA-PBE, Alexandria).

## Properties
DFT formation energy: -0.248 eV/atom
Energy above the lowest structure with this stoichiometry: 0.0701 eV/atom
E_tot: -29.81 eV per cell

Structure (CIF):
```
data_La4Ir
_chemical_formula_sum 'La4 Ir1'
_symmetry_space_group_name_H-M 'P 1'
_symmetry_Int_Tables_number 1
_cell_length_a 5.717
_cell_length_b 5.717
_cell_length_c 5.717
_cell_angle_alpha 90.00
_cell_angle_beta 90.00
_cell_angle_gamma 90.00
loop_
_symmetry_equiv_pos_as_xyz
'x,y,z'
loop_
_atom_site_label
_atom_site_type_symbol
_atom_site_fract_x
_atom_site_fract_y
_atom_site_fract_z
Ir1 Ir 0.500 0.500 0.500
La1 La 0.000 0.000 0.000
La2 La 0.500 0.500 0.000
La3 La 0.000 0.500 0.500
La4 La 0.500 0.000 0.500
```

No. 2
# La4Ir5

A relaxed structure of La4Ir5 (GGA-PBE, Alexandria).

## Properties
DFT formation energy: -0.254 eV/atom
Energy above the lowest structure with this stoichiometry: 0.1046 eV/atom
E_tot: -132.61 eV per cell

Structure (CIF):
```
data_La4Ir5
_chemical_formula_sum 'La8 Ir10'
_symmetry_space_group_name_H-M 'P 1'
_symmetry_Int_Tables_number 1
_cell_length_a 8.660
_cell_length_b 8.660
_cell_length_c 6.149
_cell_angle_alpha 90.00
_cell_angle_beta 90.00
_cell_angle_gamma 60.00
loop_
_symmetry_equiv_pos_as_xyz
'x,y,z'
loop_
_atom_site_label
_atom_site_type_symbol
_atom_site_fract_x
_atom_site_fract_y
_atom_site_fract_z
Ir1 Ir 0.000 0.298 0.250
Ir2 Ir 0.667 0.667 0.000
La1 La 0.623 0.377 0.250
Ir3 Ir 0.298 0.702 0.250
La2 La 0.377 0.000 0.250
La3 La 0.000 0.377 0.750
Ir4 Ir 0.667 0.667 0.500
Ir5 Ir 0.333 0.333 0.000
La4 La 0.000 0.000 0.500
Ir6 Ir 0.702 0.000 0.250
La5 La 0.377 0.623 0.750
La6 La 0.000 0.623 0.250
La7 La 0.000 0.000 0.000
Ir7 Ir 0.333 0.333 0.500
La8 La 0.623 0.000 0.750
Ir8 Ir 0.298 0.000 0.750
Ir9 Ir 0.000 0.702 0.750
Ir10 Ir 0.702 0.298 0.750
```

No. 3
# La3Ir2

A relaxed structure of La3Ir2 (GGA-PBE, Alexandria).

## Properties
DFT formation energy: -0.601 eV/atom
Energy above the lowest structure with this stoichiometry: 0.0840 eV/atom
E_tot: -71.02 eV per cell

Structure (CIF):
```
data_La3Ir2
_chemical_formula_sum 'La6 Ir4'
_symmetry_space_group_name_H-M 'P 1'
_symmetry_Int_Tables_number 1
_cell_length_a 8.315
_cell_length_b 8.315
_cell_length_c 6.330
_cell_angle_alpha 79.04
_cell_angle_beta 79.04
_cell_angle_gamma 135.27
loop_
_symmetry_equiv_pos_as_xyz
'x,y,z'
loop_
_atom_site_label
_atom_site_type_symbol
_atom_site_fract_x
_atom_site_fract_y
_atom_site_fract_z
Ir1 Ir 0.533 0.782 0.889
La1 La 0.052 0.474 0.838
La2 La 0.932 0.932 0.000
Ir2 Ir 0.671 0.422 0.111
La3 La 0.224 0.302 0.338
Ir3 Ir 0.532 0.783 0.389
La4 La 0.312 0.890 0.162
La5 La 0.640 0.562 0.662
Ir4 Ir 0.172 0.921 0.611
La6 La 0.682 0.182 0.500
```

No. 4
# La5Ir3

A relaxed structure of La5Ir3 (GGA-PBE, Alexandria).

## Properties
DFT formation energy: -0.673 eV/atom
Energy above the lowest structure with this stoichiometry: 0.0000 eV/atom
E_tot: -226.41 eV per cell

Structure (CIF):
```
data_La5Ir3
_chemical_formula_sum 'La20 Ir12'
_symmetry_space_group_name_H-M 'P 1'
_symmetry_Int_Tables_number 1
_cell_length_a 11.440
_cell_length_b 11.440
_cell_length_c 6.644
_cell_angle_alpha 90.00
_cell_angle_beta 90.00
_cell_angle_gamma 90.00
loop_
_symmetry_equiv_pos_as_xyz
'x,y,z'
loop_
_atom_site_label
_atom_site_type_symbol
_atom_site_fract_x
_atom_site_fract_y
_atom_site_fract_z
La1 La 0.793 0.408 0.108
Ir1 Ir 0.846 0.154 0.250
Ir2 Ir 0.154 0.154 0.750
La2 La 0.592 0.207 0.392
Ir3 Ir 0.346 0.654 0.750
Ir4 Ir 0.346 0.346 0.250
La3 La 0.408 0.793 0.392
La4 La 0.500 0.500 0.000
Ir5 Ir 0.846 0.846 0.750
La5 La 0.707 0.908 0.392
La6 La 0.408 0.207 0.892
La7 La 0.293 0.908 0.892
La8 La 0.793 0.592 0.608
Ir6 Ir 0.500 0.000 0.628
La9 La 0.207 0.408 0.608
La10 La 0.092 0.707 0.608
La11 La 0.908 0.293 0.608
La12 La 0.000 0.000 0.000
La13 La 0.707 0.092 0.892
La14 La 0.908 0.707 0.108
Ir7 Ir 0.154 0.846 0.250
Ir8 Ir 0.000 0.500 0.872
La15 La 0.293 0.092 0.392
La16 La 0.092 0.293 0.108
La17 La 0.000 0.000 0.500
Ir9 Ir 0.654 0.654 0.250
La18 La 0.207 0.592 0.108
La19 La 0.592 0.793 0.892
La20 La 0.500 0.500 0.500
Ir10 Ir 0.654 0.346 0.750
Ir11 Ir 0.500 0.000 0.128
Ir12 Ir 0.000 0.500 0.372
```

No. 5
# La5Ir3

A relaxed structure of La5Ir3 (GGA-PBE, Alexandria).

## Properties
DFT formation energy: -0.592 eV/atom
Energy above the lowest structure with this stoichiometry: 0.0804 eV/atom
E_tot: -111.92 eV per cell

Structure (CIF):
```
data_La5Ir3
_chemical_formula_sum 'La10 Ir6'
_symmetry_space_group_name_H-M 'P 1'
_symmetry_Int_Tables_number 1
_cell_length_a 6.327
_cell_length_b 8.702
_cell_length_c 8.702
_cell_angle_alpha 82.40
_cell_angle_beta 68.68
_cell_angle_gamma 68.68
loop_
_symmetry_equiv_pos_as_xyz
'x,y,z'
loop_
_atom_site_label
_atom_site_type_symbol
_atom_site_fract_x
_atom_site_fract_y
_atom_site_fract_z
La1 La 0.750 0.500 0.500
Ir1 Ir 0.250 0.000 0.000
Ir2 Ir 0.750 0.000 0.000
La2 La 0.290 0.123 0.297
La3 La 0.250 0.500 0.500
La4 La 0.413 0.297 0.877
La5 La 0.790 0.297 0.123
Ir3 Ir 0.655 0.189 0.500
La6 La 0.087 0.123 0.703
Ir4 Ir 0.845 0.500 0.811
Ir5 Ir 0.345 0.811 0.500
Ir6 Ir 0.155 0.500 0.189
La7 La 0.587 0.703 0.123
La8 La 0.913 0.877 0.297
La9 La 0.710 0.877 0.703
La10 La 0.210 0.703 0.877
```

No. 6
# La3Ir2

A relaxed structure of La3Ir2 (GGA-PBE, Alexandria).

## Properties
DFT formation energy: -0.685 eV/atom
Energy above the lowest structure with this stoichiometry: 0.0000 eV/atom
E_tot: -107.78 eV per cell

Structure (CIF):
```
data_La3Ir2
_chemical_formula_sum 'La9 Ir6'
_symmetry_space_group_name_H-M 'P 1'
_symmetry_Int_Tables_number 1
_cell_length_a 7.774
_cell_length_b 7.774
_cell_length_c 7.774
_cell_angle_alpha 70.23
_cell_angle_beta 70.23
_cell_angle_gamma 70.23
loop_
_symmetry_equiv_pos_as_xyz
'x,y,z'
loop_
_atom_site_label
_atom_site_type_symbol
_atom_site_fract_x
_atom_site_fract_y
_atom_site_fract_z
La1 La 0.153 0.396 0.672
La2 La 0.802 0.802 0.802
Ir1 Ir 0.827 0.411 0.047
La3 La 0.328 0.847 0.604
Ir2 Ir 0.411 0.047 0.827
Ir3 Ir 0.589 0.953 0.173
La4 La 0.604 0.328 0.847
La5 La 0.198 0.198 0.198
La6 La 0.672 0.153 0.396
Ir4 Ir 0.173 0.589 0.953
La7 La 0.847 0.604 0.328
La8 La 0.396 0.672 0.153
Ir5 Ir 0.047 0.827 0.411
La9 La 0.000 0.000 0.000
Ir6 Ir 0.953 0.173 0.589
```

No. 7
# La3Ir5

A relaxed structure of La3Ir5 (GGA-PBE, Alexandria).

## Properties
DFT formation energy: -0.283 eV/atom
Energy above the lowest structure with this stoichiometry: 0.0338 eV/atom
E_tot: -61.35 eV per cell

Structure (CIF):
```
data_La3Ir5
_chemical_formula_sum 'La3 Ir5'
_symmetry_space_group_name_H-M 'P 1'
_symmetry_Int_Tables_number 1
_cell_length_a 6.102
_cell_length_b 6.102
_cell_length_c 4.320
_cell_angle_alpha 90.00
_cell_angle_beta 90.00
_cell_angle_gamma 95.18
loop_
_symmetry_equiv_pos_as_xyz
'x,y,z'
loop_
_atom_site_label
_atom_site_type_symbol
_atom_site_fract_x
_atom_site_fract_y
_atom_site_fract_z
Ir1 Ir 0.500 0.000 0.000
La1 La 0.222 0.778 0.500
Ir2 Ir 0.249 0.249 0.500
La2 La 0.778 0.222 0.500
La3 La 0.500 0.500 0.000
Ir3 Ir 0.000 0.500 0.000
Ir4 Ir 0.000 0.000 0.000
Ir5 Ir 0.751 0.751 0.500
```

No. 8
# La4Ir5

A relaxed structure of La4Ir5 (GGA-PBE, Alexandria).

## Properties
DFT formation energy: -0.359 eV/atom
Energy above the lowest structure with this stoichiometry: 0.0000 eV/atom
E_tot: -67.25 eV per cell

Structure (CIF):
```
data_La4Ir5
_chemical_formula_sum 'La4 Ir5'
_symmetry_space_group_name_H-M 'P 1'
_symmetry_Int_Tables_number 1
_cell_length_a 7.212
_cell_length_b 7.212
_cell_length_c 7.212
_cell_angle_alpha 94.92
_cell_angle_beta 94.92
_cell_angle_gamma 145.95
loop_
_symmetry_equiv_pos_as_xyz
'x,y,z'
loop_
_atom_site_label
_atom_site_type_symbol
_atom_site_fract_x
_atom_site_fract_y
_atom_site_fract_z
Ir1 Ir 0.338 0.338 0.676
Ir2 Ir 0.000 0.000 0.000
La1 La 0.286 0.000 0.286
La2 La 0.000 0.714 0.714
Ir3 Ir 0.662 0.338 0.000
Ir4 Ir 0.338 0.662 0.000
La3 La 0.000 0.286 0.286
La4 La 0.714 0.000 0.714
Ir5 Ir 0.662 0.662 0.324
```

No. 9
# La3Ir5

A relaxed structure of La3Ir5 (GGA-PBE, Alexandria).

## Properties
DFT formation energy: -0.264 eV/atom
Energy above the lowest structure with this stoichiometry: 0.0528 eV/atom
E_tot: -122.40 eV per cell

Structure (CIF):
```
data_La3Ir5
_chemical_formula_sum 'La6 Ir10'
_symmetry_space_group_name_H-M 'P 1'
_symmetry_Int_Tables_number 1
_cell_length_a 9.464
_cell_length_b 9.465
_cell_length_c 4.769
_cell_angle_alpha 90.00
_cell_angle_beta 90.00
_cell_angle_gamma 60.00
loop_
_symmetry_equiv_pos_as_xyz
'x,y,z'
loop_
_atom_site_label
_atom_site_type_symbol
_atom_site_fract_x
_atom_site_fract_y
_atom_site_fract_z
Ir1 Ir 0.667 0.667 0.000
La1 La 0.363 0.000 0.750
La2 La 0.000 0.637 0.750
La3 La 0.363 0.637 0.250
La4 La 0.637 0.000 0.250
Ir2 Ir 0.333 0.333 0.000
Ir3 Ir 0.163 0.000 0.250
Ir4 Ir 0.667 0.667 0.500
Ir5 Ir 0.000 0.837 0.250
La5 La 0.000 0.363 0.250
Ir6 Ir 0.163 0.837 0.750
Ir7 Ir 0.837 0.000 0.750
Ir8 Ir 0.000 0.163 0.750
Ir9 Ir 0.837 0.163 0.250
Ir10 Ir 0.333 0.333 0.500
La6 La 0.637 0.363 0.750
```

No. 10
# La3Ir4

A relaxed structure of La3Ir4 (GGA-PBE, Alexandria).

## Properties
DFT formation energy: 0.233 eV/atom
Energy above the lowest structure with this stoichiometry: 0.3617 eV/atom
E_tot: -48.59 eV per cell

Structure (CIF):
```
data_La3Ir4
_chemical_formula_sum 'La3 Ir4'
_symmetry_space_group_name_H-M 'P 1'
_symmetry_Int_Tables_number 1
_cell_length_a 6.787
_cell_length_b 6.787
_cell_length_c 4.491
_cell_angle_alpha 90.00
_cell_angle_beta 90.00
_cell_angle_gamma 120.00
loop_
_symmetry_equiv_pos_as_xyz
'x,y,z'
loop_
_atom_site_label
_atom_site_type_symbol
_atom_site_fract_x
_atom_site_fract_y
_atom_site_fract_z
Ir1 Ir 0.000 0.000 0.251
Ir2 Ir 0.667 0.333 0.500
La1 La 0.000 0.500 0.000
La2 La 0.500 0.500 0.000
Ir3 Ir 0.333 0.667 0.500
Ir4 Ir 0.000 0.000 0.749
La3 La 0.500 0.000 0.000
```

No. 11
# La3Ir2

A relaxed structure of La3Ir2 (GGA-PBE, Alexandria).

## Properties
DFT formation energy: -0.639 eV/atom
Energy above the lowest structure with this stoichiometry: 0.0459 eV/atom
E_tot: -35.70 eV per cell

Structure (CIF):
```
data_La3Ir2
_chemical_formula_sum 'La3 Ir2'
_symmetry_space_group_name_H-M 'P 1'
_symmetry_Int_Tables_number 1
_cell_length_a 4.960
_cell_length_b 4.960
_cell_length_c 6.398
_cell_angle_alpha 90.00
_cell_angle_beta 90.00
_cell_angle_gamma 120.00
loop_
_symmetry_equiv_pos_as_xyz
'x,y,z'
loop_
_atom_site_label
_atom_site_type_symbol
_atom_site_fract_x
_atom_site_fract_y
_atom_site_fract_z
La1 La 0.667 0.333 0.665
La2 La 0.333 0.667 0.335
Ir1 Ir 0.667 0.333 0.180
La3 La 0.000 0.000 0.000
Ir2 Ir 0.333 0.667 0.820
```